Here is Pr2ZnPtO6 after structural relaxation from Alexandria via LeMat-Bulk. Energies are from GGA-PBEsol.

Cell and atoms, written as CIF:
```
data_Pr2ZnPtO6
_chemical_formula_sum 'Pr4 Zn2 Pt2 O12'
_cell_length_a 5.4616
_cell_length_b 5.7714
_cell_length_c 9.5228
_cell_angle_alpha 90.00
_cell_angle_beta 124.88
_cell_angle_gamma 90.00
_space_group_name_H-M_alt 'P 1 21/c 1'
_space_group_IT_number 14
_space_group_name_Hall '-P 2ybc'
loop_
_atom_site_label
_atom_site_type_symbol
_atom_site_fract_x
_atom_site_fract_y
_atom_site_fract_z
Pr1 Pr 0.2320 0.0667 0.2505
Zn1 Zn 0.5000 0.0000 0.0000
Pt1 Pt 0.0000 0.0000 0.5000
O1 O 0.1396 0.2059 0.9485
O2 O 0.2498 0.6979 0.9504
O3 O 0.3460 0.0276 0.7482
```


Here is RbPrO2 after structural relaxation from Alexandria via LeMat-Bulk. Energies are from GGA-PBEsol.

Cell and atoms, written as CIF:
```
data_RbPrO2
_chemical_formula_sum 'Rb3 Pr3 O6'
_cell_length_a 3.6557
_cell_length_b 3.6557
_cell_length_c 19.5055
_cell_angle_alpha 90.00
_cell_angle_beta 90.00
_cell_angle_gamma 120.00
_space_group_name_H-M_alt 'R -3 m'
_space_group_IT_number 166
_space_group_name_Hall '-R 3 2"'
loop_
_atom_site_label
_atom_site_type_symbol
_atom_site_fract_x
_atom_site_fract_y
_atom_site_fract_z
Rb1 Rb 0.0000 0.0000 0.0000
Pr1 Pr 0.0000 0.0000 0.5000
O1 O 0.0000 0.0000 0.2279
```


Per-record final energy, eV per cell: -144.729 -80.773
Per-record formation energy without anion corrections, eV/f.u.: -21.95 -10.22